PaZnCo5As2, relaxed, DFT PBE; formation energy = -0.01 eV per atom; N(E_F) = 11.0 states/eV/cell; total DFT energy (no corrections) = -55.67 eV for the cell shown; crystal system = tetragonal
1.0
-1.322 -2.796 -2.071
-0.518 -2.032 3.075
-9.392 3.770 0.908
Co As Pa Zn
5 2 1 1
Direct
0.000 0.500 0.848
0.500 0.000 0.848
0.000 0.500 0.152
0.500 0.500 0.500
0.500 0.000 0.152
0.500 0.500 0.722
0.500 0.500 0.278
0.000 0.000 0.500
0.000 0.000 0.000